DyAlCo2 | PBE | relaxed

Calculated values
**ΔH_f (0 K)**: -0.298 eV/atom
**Crystal system**: trigonal
**Calculated total energy**: -23.75 eV/cell

Lattice parameters (Å, degrees): 4.149 4.149 5.207 66.52 66.52 60.00
Site moments in Bohr magnetons follow the coordinates.
Fractional positions:
Al 0.000 0.000 0.000  -0.01
Dy 0.500 0.500 0.500  -0.11
Co 0.691 0.691 0.926  0.73
Co 0.309 0.309 0.074  0.73